Model 1:
Material: CaTm2Mg6
Method: DFT, PBE
State: optimized geometry

The structure in CIF format:
```
data_CaTm2Mg6
_cell_length_a 3.376
_cell_length_b 9.015
_cell_length_c 15.943
_cell_angle_alpha 90.00
_cell_angle_beta 90.00
_cell_angle_gamma 90.00
_symmetry_space_group_name_H-M 'I m m m'
_symmetry_Int_Tables_number 71
_symmetry_space_group_name_Hall '-I 2 2'
loop_
_atom_site_label
_atom_site_type_symbol
_atom_site_fract_x
_atom_site_fract_y
_atom_site_fract_z
_atom_site_occupancy
Ca1 Ca 0.000 0.000 0.000 1
Tm1 Tm 0.000 0.500 0.151 1
Mg1 Mg 0.000 0.168 0.500 1
Mg2 Mg 0.000 0.323 0.329 1
```

Properties
**Spin magnetization**: 0.000 μB per atom

Model 2:
Material: CaTm2Mg6
Method: DFT, PBE
State: optimized geometry

The structure in CIF format:
```
data_CaTm2Mg6
_cell_length_a 9.0384
_cell_length_b 9.0384
_cell_length_c 3.3776
_cell_angle_alpha 90.00
_cell_angle_beta 90.00
_cell_angle_gamma 120.00
_symmetry_space_group_name_H-M 'P 6/m m m'
_symmetry_Int_Tables_number 191
_symmetry_space_group_name_Hall '-P 6 2'
loop_
_atom_site_label
_atom_site_type_symbol
_atom_site_fract_x
_atom_site_fract_y
_atom_site_fract_z
_atom_site_occupancy
Ca1 Ca 0.0000 0.0000 0.0000 1
Tm1 Tm 0.3333 0.6667 0.0000 1
Mg1 Mg 0.0000 0.3380 0.5000 1
```

Properties
**Spin magnetization**: 0.000 μB per atom

Which structure is most stable? model 2, by 47 meV/atom over the runner-up.

Model 1:
Material: Ca3MgV
Method: DFT, PBE
State: optimized geometry

The structure in CIF format:
```
data_Ca3MgV
_cell_length_a 5.805
_cell_length_b 5.805
_cell_length_c 5.805
_cell_angle_alpha 90.00
_cell_angle_beta 90.00
_cell_angle_gamma 90.00
_symmetry_space_group_name_H-M 'P m -3 m'
_symmetry_Int_Tables_number 221
_symmetry_space_group_name_Hall '-P 4 2 3'
loop_
_atom_site_label
_atom_site_type_symbol
_atom_site_fract_x
_atom_site_fract_y
_atom_site_fract_z
_atom_site_occupancy
Ca1 Ca 0.000 0.000 0.500 1
Mg1 Mg 0.500 0.500 0.500 1
V1 V 0.000 0.000 0.000 1
```

Properties
**Spin magnetization**: 0.987 μB per atom

Model 2:
Material: Ca3MgV
Method: DFT, PBE
State: optimized geometry

The structure in CIF format:
```
data_Ca3MgV
_cell_length_a 5.866
_cell_length_b 5.866
_cell_length_c 5.866
_cell_angle_alpha 90.00
_cell_angle_beta 90.00
_cell_angle_gamma 90.00
_symmetry_space_group_name_H-M 'P m -3 m'
_symmetry_Int_Tables_number 221
_symmetry_space_group_name_Hall '-P 4 2 3'
loop_
_atom_site_label
_atom_site_type_symbol
_atom_site_fract_x
_atom_site_fract_y
_atom_site_fract_z
_atom_site_occupancy
Ca1 Ca 0.000 0.000 0.500 1
Mg1 Mg 0.000 0.000 0.000 1
V1 V 0.500 0.500 0.500 1
```

Properties
**Spin magnetization**: 0.893 μB per atom

Which structure is most stable? model 1, by 252 meV/atom over the runner-up.

Model 1:
Material: CaMg2W
Method: DFT, PBE
State: optimized geometry

The structure in CIF format:
```
data_CaMg2W
_cell_length_a 2.839
_cell_length_b 4.946
_cell_length_c 6.224
_cell_angle_alpha 90.00
_cell_angle_beta 100.48
_cell_angle_gamma 90.00
_symmetry_space_group_name_H-M 'P 1 2/m 1'
_symmetry_Int_Tables_number 10
_symmetry_space_group_name_Hall '-P 2y'
loop_
_atom_site_label
_atom_site_type_symbol
_atom_site_fract_x
_atom_site_fract_y
_atom_site_fract_z
_atom_site_occupancy
Ca1 Ca 0.000 0.000 0.000 1
Mg1 Mg 0.248 0.500 0.712 1
W1 W 0.500 0.000 0.500 1
```

Properties
**Spin magnetization**: 0.000 μB per atom

Model 2:
Material: CaMg2W
Method: DFT, PBE
State: optimized geometry

The structure in CIF format:
```
data_CaMg2W
_cell_length_a 2.918
_cell_length_b 2.918
_cell_length_c 10.079
_cell_angle_alpha 90.00
_cell_angle_beta 90.00
_cell_angle_gamma 90.00
_symmetry_space_group_name_H-M 'P 4 m m'
_symmetry_Int_Tables_number 99
_symmetry_space_group_name_Hall 'P 4 -2'
loop_
_atom_site_label
_atom_site_type_symbol
_atom_site_fract_x
_atom_site_fract_y
_atom_site_fract_z
_atom_site_occupancy
Ca1 Ca 0.000 0.000 0.000 1
Mg1 Mg 0.000 0.000 0.538 1
Mg2 Mg 0.500 0.500 0.284 1
W1 W 0.500 0.500 0.753 1
```

Properties
**Spin magnetization**: 0.000 μB per atom

Which structure is most stable? model 2, by 104 meV/atom over the runner-up.

Model 1:
Material: CaMg2W
Method: DFT, PBE
State: optimized geometry

The structure in CIF format:
```
data_CaMg2W
_cell_length_a 5.164
_cell_length_b 5.164
_cell_length_c 3.110
_cell_angle_alpha 90.00
_cell_angle_beta 90.00
_cell_angle_gamma 90.00
_symmetry_space_group_name_H-M 'P 4/m m m'
_symmetry_Int_Tables_number 123
_symmetry_space_group_name_Hall '-P 4 2'
loop_
_atom_site_label
_atom_site_type_symbol
_atom_site_fract_x
_atom_site_fract_y
_atom_site_fract_z
_atom_site_occupancy
Ca1 Ca 0.000 0.000 0.000 1
Mg1 Mg 0.000 0.500 0.500 1
W1 W 0.500 0.500 0.000 1
```

Properties
**Spin magnetization**: 0.000 μB per atom

Model 2:
Material: CaMg2W
Method: DFT, PBE
State: optimized geometry

The structure in CIF format:
```
data_CaMg2W
_cell_length_a 4.366
_cell_length_b 4.366
_cell_length_c 20.895
_cell_angle_alpha 90.00
_cell_angle_beta 90.00
_cell_angle_gamma 90.00
_symmetry_space_group_name_H-M 'I -4 2 d'
_symmetry_Int_Tables_number 122
_symmetry_space_group_name_Hall 'I -4 2bw'
loop_
_atom_site_label
_atom_site_type_symbol
_atom_site_fract_x
_atom_site_fract_y
_atom_site_fract_z
_atom_site_occupancy
Ca1 Ca 0.000 0.000 0.000 1
Mg1 Mg 0.207 0.250 0.625 1
W1 W 0.000 0.000 0.500 1
```

Properties
**Spin magnetization**: 0.500 μB per atom

Which structure is most stable? model 1, by 462 meV/atom over the runner-up.

Model 1:
Material: CaMg2W
Method: DFT, PBE
State: optimized geometry

The structure in CIF format:
```
data_CaMg2W
_cell_length_a 11.703
_cell_length_b 2.979
_cell_length_c 5.512
_cell_angle_alpha 90.00
_cell_angle_beta 117.34
_cell_angle_gamma 90.00
_symmetry_space_group_name_H-M 'C 1 m 1'
_symmetry_Int_Tables_number 8
_symmetry_space_group_name_Hall 'C -2y'
loop_
_atom_site_label
_atom_site_type_symbol
_atom_site_fract_x
_atom_site_fract_y
_atom_site_fract_z
_atom_site_occupancy
Ca1 Ca 0.000 0.000 0.000 1
Mg1 Mg 0.235 0.000 0.592 1
Mg2 Mg 0.481 0.000 0.489 1
W1 W 0.256 0.500 0.112 1
```

Properties
**Spin magnetization**: 0.000 μB per atom

Model 2:
Material: CaMg2W
Method: DFT, PBE
State: optimized geometry

The structure in CIF format:
```
data_CaMg2W
_cell_length_a 3.0787
_cell_length_b 3.0787
_cell_length_c 31.6038
_cell_angle_alpha 90.00
_cell_angle_beta 90.00
_cell_angle_gamma 120.00
_symmetry_space_group_name_H-M 'R -3 m'
_symmetry_Int_Tables_number 166
_symmetry_space_group_name_Hall '-R 3 2"'
loop_
_atom_site_label
_atom_site_type_symbol
_atom_site_fract_x
_atom_site_fract_y
_atom_site_fract_z
_atom_site_occupancy
Ca1 Ca 0.0000 0.0000 0.0000 1
Mg1 Mg 0.0000 0.0000 0.2406 1
W1 W 0.0000 0.0000 0.5000 1
```

Properties
**Spin magnetization**: 0.000 μB per atom

Model 3:
Material: CaMg2W
Method: DFT, PBE
State: optimized geometry

The structure in CIF format:
```
data_CaMg2W
_cell_length_a 10.391
_cell_length_b 2.885
_cell_length_c 5.809
_cell_angle_alpha 90.00
_cell_angle_beta 96.71
_cell_angle_gamma 90.00
_symmetry_space_group_name_H-M 'C 1 2/m 1'
_symmetry_Int_Tables_number 12
_symmetry_space_group_name_Hall '-C 2y'
loop_
_atom_site_label
_atom_site_type_symbol
_atom_site_fract_x
_atom_site_fract_y
_atom_site_fract_z
_atom_site_occupancy
Ca1 Ca 0.000 0.000 0.000 1
Mg1 Mg 0.239 0.000 0.713 1
W1 W 0.000 0.500 0.500 1
```

Properties
**Spin magnetization**: 0.000 μB per atom

Which structure is most stable? model 2, by 6 meV/atom over the runner-up.

Model 1:
Material: CaMg2W
Method: DFT, PBE
State: optimized geometry

The structure in CIF format:
```
data_CaMg2W
_cell_length_a 2.910
_cell_length_b 4.976
_cell_length_c 5.957
_cell_angle_alpha 90.00
_cell_angle_beta 98.99
_cell_angle_gamma 90.00
_symmetry_space_group_name_H-M 'P 1 m 1'
_symmetry_Int_Tables_number 6
_symmetry_space_group_name_Hall 'P -2y'
loop_
_atom_site_label
_atom_site_type_symbol
_atom_site_fract_x
_atom_site_fract_y
_atom_site_fract_z
_atom_site_occupancy
Ca1 Ca 0.000 0.000 0.000 1
Mg1 Mg 0.588 0.000 0.529 1
Mg2 Mg 0.649 0.500 0.265 1
W1 W 0.275 0.500 0.717 1
```

Properties
**Spin magnetization**: 0.000 μB per atom

Model 2:
Material: CaMg2W
Method: DFT, PBE
State: optimized geometry

The structure in CIF format:
```
data_CaMg2W
_cell_length_a 4.374
_cell_length_b 4.374
_cell_length_c 9.046
_cell_angle_alpha 90.00
_cell_angle_beta 90.00
_cell_angle_gamma 90.00
_symmetry_space_group_name_H-M 'I -4 m 2'
_symmetry_Int_Tables_number 119
_symmetry_space_group_name_Hall 'I -4 -2'
loop_
_atom_site_label
_atom_site_type_symbol
_atom_site_fract_x
_atom_site_fract_y
_atom_site_fract_z
_atom_site_occupancy
Ca1 Ca 0.000 0.000 0.000 1
Mg1 Mg 0.000 0.000 0.500 1
Mg2 Mg 0.000 0.500 0.750 1
W1 W 0.000 0.500 0.250 1
```

Properties
**Spin magnetization**: 0.170 μB per atom

Which structure is most stable? model 1, by 138 meV/atom over the runner-up.